KNa3WO5 | PBE with a Hubbard U | relaxed

Cell and atoms, written as CIF:
```
data_KNa3WO5
_chemical_formula_sum 'K4 Na12 W4 O20'
_symmetry_space_group_name_H-M 'C 1 2/m 1'
_symmetry_Int_Tables_number 12
_symmetry_space_group_name_Hall '-C 2y'
_cell_length_a 9.172
_cell_length_b 7.560
_cell_length_c 9.210
_cell_angle_alpha 90.00
_cell_angle_beta 104.20
_cell_angle_gamma 90.00
loop_
_atom_site_label
_atom_site_type_symbol
_atom_site_fract_x
_atom_site_fract_y
_atom_site_fract_z
K1 K 0.000 0.248 0.000
Na1 Na 0.097 0.245 0.387
Na2 Na 0.187 0.500 0.773
W1 W 0.192 0.000 0.759
O1 O 0.020 0.000 0.241
O2 O 0.098 0.500 0.249
O3 O 0.164 0.219 0.654
O4 O 0.246 0.000 0.967
```

Results
As for the raw total energy: -5.61 eV per atom. The density of states at the Fermi level is 0.000 states/eV/atom. The calculation puts the total magnetic moment at 0.00 μB/atom.